LaFeI2N: PBEsol geometry, SCAN.

Output
Density of states at the Fermi level (states/eV per atom): 0.508
Energy relative to the elements, uncorrected (eV/f.u.): -0.893
Uncorrected energy (Ry/atom): -2.1300

Cell lengths 5.464, 5.464, 3.573 Å; angles 90.00, 90.00, 90.00 degrees
Fractional positions:
La  0.000  0.000  0.000
Fe  0.500  0.500  0.500
I  0.000  0.500  0.500
I  0.500  0.000  0.500
N  0.500  0.500  0.000